w:
LiCuPb2: relaxed, PBE.

Summary:
magnetic moment: 0.00 μB per cell

Cell lengths 4.9715, 4.9715, 4.9715 Å; angles 60.00, 60.00, 60.00 degrees
Last column: nearest neighbours and their distance in Å.
Fractional coordinates of all 4 atoms:
Li  0.0000  0.0000  0.0000  8 Pb 3.04
Cu  0.5000  0.5000  0.5000  8 Pb 3.04
Pb  0.2500  0.2500  0.2500  4 Cu 3.04, 4 Li 3.04
Pb  0.7500  0.7500  0.7500  4 Cu 3.04, 4 Li 3.04


x:
LiCuPb2: relaxed, PBE.

Summary:
magnetic moment: 0.00 μB per cell

Cell lengths 4.7630, 4.7630, 5.9029 Å; angles 101.37, 101.37, 43.47 degrees
Last column: nearest neighbours and their distance in Å.
Fractional coordinates of all 4 atoms:
Li  0.0000  0.0000  0.0000  6 Pb 2.88-3.08
Cu  0.5000  0.5000  0.5000  6 Pb 2.86-2.95
Pb  0.2369  0.2369  0.7332  3 Cu 2.86-2.95, 3 Li 2.88-3.08
Pb  0.7631  0.7631  0.2668  3 Cu 2.86-2.95, 3 Li 2.88-3.08


y:
LiCuPb2: relaxed, PBE.

Summary:
magnetic moment: 0.00 μB per cell

Cell lengths 3.6067, 4.4844, 5.6577 Å; angles 90.00, 108.57, 90.00 degrees
Last column: nearest neighbours and their distance in Å.
Fractional coordinates of all 4 atoms:
Li  0.0000  0.0000  0.0000  2 Cu 2.74, 7 Pb 2.97-2.99
Cu  0.8559  0.5000  0.7079  2 Li 2.74, 7 Pb 2.93-3.05
Pb  0.2796  0.0000  0.5577  3 Li 2.98-2.99, 4 Cu 2.99
Pb  0.5695  0.5000  0.1399  3 Cu 2.93-3.05, 4 Li 2.97


z:
LiCuPb2: relaxed, PBE.

Summary:
magnetic moment: 0.00 μB per cell

Cell lengths 5.8055, 5.8055, 4.8554 Å; angles 105.92, 105.92, 34.25 degrees
Last column: nearest neighbours and their distance in Å.
Fractional coordinates of all 4 atoms:
Li  0.0000  0.0000  0.0000  2 Cu 2.87, 5 Pb 2.96-3.05
Cu  0.2946  0.2946  0.7101  2 Li 2.87, 7 Pb 2.98-3.17
Pb  0.5434  0.5434  0.5393  4 Li 2.96-3.05, 3 Cu 3.10-3.17
Pb  0.7685  0.7685  0.1922  3 Li 2.97-3.33, 4 Cu 2.98-2.99


Unit: meV/atom. Relative energies: w 6; x 46; y 0; z 29.


w:
LiCuPb2: relaxed, PBE.

Summary:
magnetic moment: 0.00 μB per cell

Cell lengths 5.1029, 5.1029, 5.1029 Å; angles 60.00, 60.00, 60.00 degrees
Last column: nearest neighbours and their distance in Å.
Fractional coordinates of all 4 atoms:
Li  0.0000  0.0000  0.0000  4 Pb 3.12, 4 Cu 3.12
Cu  0.7500  0.7500  0.7500  4 Li 3.12, 4 Pb 3.12
Pb  0.2500  0.2500  0.2500  4 Pb 3.12, 4 Li 3.12
Pb  0.5000  0.5000  0.5000  4 Cu 3.12, 4 Pb 3.12


x:
LiCuPb2: relaxed, PBE.

Summary:
magnetic moment: 0.00 μB per cell

Cell lengths 3.5445, 3.5445, 7.1527 Å; angles 90.00, 90.00, 97.45 degrees
Last column: nearest neighbours and their distance in Å.
Fractional coordinates of all 4 atoms:
Li  0.0000  0.0000  0.0000  8 Pb 3.03-3.29
Cu  0.0000  0.0000  0.5000  8 Pb 2.86-3.14
Pb  0.5000  0.5000  0.2688  4 Cu 2.86-3.14, 2 Li 3.03
Pb  0.5000  0.5000  0.7312  4 Cu 2.86-3.14, 2 Li 3.03


y:
LiCuPb2: relaxed, PBE.

Summary:
magnetic moment: 0.00 μB per cell

Cell lengths 3.4606, 3.5119, 7.2629 Å; angles 90.00, 91.68, 90.00 degrees
Last column: nearest neighbours and their distance in Å.
Fractional coordinates of all 4 atoms:
Li  0.0000  0.0000  0.0000  8 Pb 3.12-3.16, 2 Li 3.46
Cu  0.0000  0.0000  0.5000  8 Pb 2.95-3.03
Pb  0.4944  0.5000  0.7330  4 Cu 2.95-3.03, 4 Li 3.12-3.16
Pb  0.5056  0.5000  0.2670  4 Cu 2.95-3.03, 4 Li 3.12-3.16


z:
LiCuPb2: relaxed, PBE.

Summary:
magnetic moment: 0.00 μB per cell

Cell lengths 5.8264, 5.8264, 5.8264 Å; angles 137.75, 137.75, 61.29 degrees
Last column: nearest neighbours and their distance in Å.
Fractional coordinates of all 4 atoms:
Li  0.0000  0.0000  0.0000  8 Pb 2.97-3.27, 4 Cu 3.27
Cu  0.7500  0.2500  0.5000  8 Pb 2.97-3.27, 4 Li 3.27
Pb  0.2500  0.7500  0.5000  4 Cu 2.97, 4 Pb 3.27, 4 Li 3.27
Pb  0.5000  0.5000  0.0000  4 Li 2.97, 4 Cu 3.27, 4 Pb 3.27


Unit: meV/atom. Relative energies: w 162; x 5; y 0; z 44.


w:
LiCuPb2: relaxed, PBE.

Summary:
magnetic moment: 0.00 μB per cell

Cell lengths 9.8452, 9.8452, 9.8452 Å; angles 153.13, 153.13, 38.37 degrees
Last column: nearest neighbours and their distance in Å.
Fractional coordinates of all 8 atoms:
Li  0.0000  0.0000  0.0000  4 Pb 2.84
Li  0.7500  0.2500  0.5000  4 Pb 2.84
Cu  0.2500  0.7500  0.5000  4 Pb 2.82
Cu  0.5000  0.5000  0.0000  4 Pb 2.82
Pb  0.1305  0.6250  0.0055  2 Cu 2.82, 2 Li 2.84
Pb  0.3750  0.3805  0.5055  2 Cu 2.82, 2 Li 2.84
Pb  0.6195  0.1250  0.9945  2 Cu 2.82, 2 Li 2.84
Pb  0.8750  0.8695  0.4945  2 Cu 2.82, 2 Li 2.84


x:
LiCuPb2: relaxed, PBE.

Summary:
magnetic moment: 0.00 μB per cell

Cell lengths 9.3811, 9.3811, 9.3811 Å; angles 20.68, 20.68, 20.68 degrees
Last column: nearest neighbours and their distance in Å.
Fractional coordinates of all 4 atoms:
Li  0.0000  0.0000  0.0000  6 Pb 3.11, 6 Li 3.37
Cu  0.5000  0.5000  0.5000  6 Pb 2.91
Pb  0.2451  0.2451  0.2451  3 Cu 2.91, 3 Li 3.11
Pb  0.7549  0.7549  0.7549  3 Cu 2.91, 3 Li 3.11


y:
LiCuPb2: relaxed, PBE.

Summary:
magnetic moment: 0.00 μB per cell

Cell lengths 6.1270, 6.1270, 6.1270 Å; angles 42.99, 42.99, 42.99 degrees
Last column: nearest neighbours and their distance in Å.
Fractional coordinates of all 4 atoms:
Li  0.0000  0.0000  0.0000  1 Cu 2.95, 6 Pb 3.03-3.16
Cu  0.8228  0.8228  0.8228  6 Pb 2.79-2.83, 1 Li 2.95
Pb  0.2243  0.2243  0.2243  3 Cu 2.83, 3 Li 3.16
Pb  0.4269  0.4269  0.4269  3 Cu 2.79, 3 Li 3.03


z:
LiCuPb2: relaxed, PBE.

Summary:
magnetic moment: 0.00 μB per cell

Cell lengths 3.3802, 3.3802, 7.7180 Å; angles 90.00, 90.00, 90.00 degrees
Last column: nearest neighbours and their distance in Å.
Fractional coordinates of all 4 atoms:
Li  0.0000  0.0000  0.0000  4 Cu 2.68
Cu  0.5000  0.5000  0.8427  4 Li 2.68
Pb  0.0000  0.0000  0.6071  4 Cu 3.00, 1 Li 3.03
Pb  0.5000  0.5000  0.2470  4 Li 3.06, 1 Cu 3.12, 4 Pb 3.38


Unit: meV/atom. Relative energies: w 157; x 25; y 0; z 9.


w:
Li2CuPb2: relaxed, PBE.

Summary:
magnetic moment: 0.00 μB per cell

Cell lengths 6.8427, 6.8427, 4.3118 Å; angles 90.00, 90.00, 90.00 degrees
Last column: nearest neighbours and their distance in Å.
Fractional coordinates of all 10 atoms:
Li  0.1410  0.3590  0.0000  2 Cu 2.64, 1 Li 2.73, 2 Pb 2.81
Li  0.3590  0.8590  0.0000  2 Cu 2.64, 1 Li 2.73, 2 Pb 2.81
Li  0.6410  0.1410  0.0000  2 Cu 2.64, 1 Li 2.73, 2 Pb 2.81
Li  0.8590  0.6410  0.0000  2 Cu 2.64, 1 Li 2.73, 2 Pb 2.81
Cu  0.0000  0.0000  0.0000  4 Li 2.64
Cu  0.5000  0.5000  0.0000  4 Li 2.64
Pb  0.1731  0.6731  0.5000  6 Li 2.81-3.05
Pb  0.3269  0.1731  0.5000  6 Li 2.81-3.05
Pb  0.6731  0.8269  0.5000  6 Li 2.81-3.05
Pb  0.8269  0.3269  0.5000  6 Li 2.81-3.05


x:
Li2CuPb2: relaxed, PBE.

Summary:
magnetic moment: 0.00 μB per cell

Cell lengths 7.1122, 7.1122, 4.4403 Å; angles 90.00, 90.00, 90.00 degrees
Last column: nearest neighbours and their distance in Å.
Fractional coordinates of all 10 atoms:
Li  0.1519  0.3481  0.0000  6 Pb 2.95-3.11, 1 Li 3.06
Li  0.3481  0.8481  0.0000  6 Pb 2.95-3.11, 1 Li 3.06
Li  0.6519  0.1519  0.0000  6 Pb 2.95-3.11, 1 Li 3.06
Li  0.8481  0.6519  0.0000  6 Pb 2.95-3.11, 1 Li 3.06
Cu  0.0000  0.0000  0.5000  4 Pb 2.69
Cu  0.5000  0.5000  0.5000  4 Pb 2.69
Pb  0.1548  0.6548  0.5000  2 Cu 2.69, 2 Li 2.95
Pb  0.3452  0.1548  0.5000  2 Cu 2.69, 2 Li 2.95
Pb  0.6548  0.8452  0.5000  2 Cu 2.69, 2 Li 2.95
Pb  0.8452  0.3452  0.5000  2 Cu 2.69, 2 Li 2.95


Unit: meV/atom. Relative energies: w 26; x 0.